20
Lattice="-3.852 6.864 3.349 0.352 -3.568 7.716 6.620 4.831 -2.287" Properties=species:S:1:pos:R:3 comment="Tb3ThSc6, relaxed, DFT GGA-PBE" e_form_kj_per_mol_fu=142.0 m_tot_mub_per_cell=0.0 total_energy_ev_per_atom=-5.783 n_ef_per_ev_cell=27.20 pbc="T T T"
Tb 2.569 3.177 3.300
Sc -1.828 4.747 8.581
Sc 1.639 5.499 8.735
Tb 1.914 8.323 6.881
Sc 0.618 6.261 2.479
Tb 0.059 5.827 5.906
Sc -1.897 1.606 9.400
Sc 0.869 3.719 0.575
Tb -0.681 3.167 3.538
Th 4.612 2.993 0.719
Sc 5.412 4.542 4.113
Tb 3.060 3.845 6.452
Sc 5.550 5.571 -1.085
Tb -1.827 7.645 3.968
Sc 0.653 0.295 3.823
Sc 3.096 6.711 4.408
Sc 3.528 5.911 1.432
Sc -2.904 4.676 5.198
Sc 3.131 0.744 5.752
Th -0.113 2.675 6.860